Entry 1:
First-principles (PBE-GGA) data for an optimized crystal structure of LaTbU, as listed in OQMD via LeMat-Bulk.

Lattice parameters (Å, degrees): 5.144 5.144 5.144 60.00 60.00 60.00
Fractional coordinates of all 3 atoms:
La 0.000 0.000 0.000
Tb 0.750 0.750 0.750
U 0.250 0.250 0.250

Computed properties:
Offset from the most stable computed form: 0.000 eV/atom
Magnetic moment: 1.3974 μB per atom


Entry 2:
First-principles (PBE-GGA) data for an optimized crystal structure of Zr2PN, as listed in OQMD via LeMat-Bulk.

Lattice parameters (Å, degrees): 3.415 3.415 12.075 90.00 90.00 120.00
Fractional coordinates of all 8 atoms:
Zr 0.333 0.667 0.102
Zr 0.333 0.667 0.398
Zr 0.667 0.333 0.602
Zr 0.667 0.333 0.898
P 0.333 0.667 0.750
P 0.667 0.333 0.250
N 0.000 0.000 0.000
N 0.000 0.000 0.500

Computed properties:
Final energy: -9.18 eV per atom
Magnetic moment: 0.0005 μB per atom


The highest magnetic moment belongs to which entry? LaTbU


magnetic moment of number 1 (LaTbU)? 1.3974 μB per atom


magnetic moment of number 2 (Zr2PN)? 0.0005 μB per atom


Which of these has the lowest magnetic moment? Zr2PN